# 1
# Sm2Er7Sc2 PBE-GGA relaxed
# * SG: Imm2
data_Sm2Er7Sc2
_space_group_name_H-M_alt 'P 1'
_space_group_IT_number 1
_cell_length_a 10.463
_cell_length_b 10.463
_cell_length_c 10.463
_cell_angle_alpha 160.21
_cell_angle_beta 66.25
_cell_angle_gamma 117.51
loop_
_space_group_symop_operation_xyz
'x,y,z'
loop_
_atom_site_label
_atom_site_fract_x
_atom_site_fract_y
_atom_site_fract_z
Sm1 0.000 0.000 0.000
Sm2 0.685 0.185 0.500
Er1 0.258 0.620 0.639
Er2 0.337 0.337 0.000
Er3 0.386 0.079 0.307
Er4 0.683 0.838 0.844
Er5 0.772 0.079 0.693
Er6 0.981 0.620 0.361
Er7 0.994 0.838 0.156
Sc1 0.146 0.337 0.809
Sc2 0.528 0.337 0.191


# 2
# SmErSc PBE-GGA relaxed
# * SG: R3m
# * excess energy over the best structure of this formula in the dataset: 0 meV per atom
data_SmErSc
_space_group_name_H-M_alt 'P 1'
_space_group_IT_number 1
_cell_length_a 8.577
_cell_length_b 8.577
_cell_length_c 8.577
_cell_angle_alpha 23.50
_cell_angle_beta 23.50
_cell_angle_gamma 23.50
loop_
_space_group_symop_operation_xyz
'x,y,z'
loop_
_atom_site_label
_atom_site_fract_x
_atom_site_fract_y
_atom_site_fract_z
Sm1 0.000 0.000 0.000
Er1 0.216 0.216 0.216
Sc1 0.776 0.776 0.776


# 3
# Sm7Er3Sc PBE-GGA relaxed
# * SG: C2/m
# * excess energy over the best structure of this formula in the dataset: 100 meV per atom
data_Sm7Er3Sc
_space_group_name_H-M_alt 'P 1'
_space_group_IT_number 1
_cell_length_a 8.456
_cell_length_b 8.456
_cell_length_c 5.762
_cell_angle_alpha 109.91
_cell_angle_beta 109.91
_cell_angle_gamma 83.56
loop_
_space_group_symop_operation_xyz
'x,y,z'
loop_
_atom_site_label
_atom_site_fract_x
_atom_site_fract_y
_atom_site_fract_z
Sm1 0.000 0.000 0.000
Sm2 0.097 0.523 0.310
Sm3 0.286 0.286 0.787
Sm4 0.477 0.903 0.690
Sm5 0.523 0.097 0.310
Sm6 0.714 0.714 0.213
Sm7 0.903 0.477 0.690
Er1 0.297 0.703 0.000
Er2 0.500 0.500 0.500
Er3 0.703 0.297 0.000
Sc1 0.000 0.000 0.500


Values of electronic total energy, in order: -4.7471, -5.1795, -4.5863, all in eV/atom.